[1]
The following is a DFT calculation (PBE) of Sc8SiGe3Te4 after structural relaxation.

Summary:
DOS(E_F)	2.97	states/eV per cell
E	-98.56	eV per cell
ρ	4.96	g/cm³
energy relative to the elements, uncorrected	-1004	meV per atom
spin magnetization	0.00	μB per cell

abc: 8.158 8.158 8.158
angles: 58.83 58.83 58.83
Atoms (fractional coordinates):
Sc 0.239 0.239 0.239
Sc 0.241 0.738 0.738
Sc 0.262 0.262 0.759
Sc 0.262 0.759 0.262
Sc 0.738 0.241 0.738
Sc 0.738 0.738 0.241
Sc 0.759 0.262 0.262
Sc 0.761 0.761 0.761
Si 0.500 0.500 0.500
Ge 0.000 0.000 0.500
Ge 0.000 0.500 0.000
Ge 0.500 0.000 0.000
Te 0.000 0.000 0.000
Te 0.000 0.500 0.500
Te 0.500 0.000 0.500
Te 0.500 0.500 0.000

[2]
The following is a DFT calculation (PBE) of ScTiSiGe2 after structural relaxation.

Summary:
DOS(E_F)	5.10	states/eV per cell
E	-25.87	eV per cell
ρ	3.81	g/cm³
energy relative to the elements, uncorrected	603	meV per atom
spin magnetization	0.00	μB per cell

abc: 4.871 4.871 4.887
angles: 90.00 90.00 90.00
Atoms (fractional coordinates):
Sc 0.000 0.000 0.000
Ti 0.000 0.000 0.500
Si 0.500 0.500 0.000
Ge 0.000 0.500 0.500
Ge 0.500 0.000 0.500

Question: What is the formula in the first record?
Answer: Sc8SiGe3Te4